1.
Co2PbW | PBE-GGA | optimized geometry

## Properties
Space-group type: No. 25
M_tot: 0.696 μB/atom
Energy relative to the elements: 0.59 eV per atom

The structure in POSCAR format:
```
Co2PbW
1.0
2.903 0.000 0.000
0.000 3.242 0.000
0.000 0.000 6.861
Co Pb W
2 1 1
Direct
0.000 0.000 0.000 Co
0.500 0.500 0.162 Co
0.000 0.000 0.460 Pb
0.500 0.500 0.798 W
```

=====

2.
EuTm2Ir | PBE-GGA | optimized geometry

## Properties
Space-group type: No. 166
M_tot: 1.926 μB/atom
Energy relative to the elements: -0.43 eV per atom

The structure in POSCAR format:
```
EuTm2Ir
1.0
2.020 1.166 9.166
-2.020 1.166 9.166
0.000 -2.333 9.166
Eu Tm Ir
1 2 1
Direct
0.000 0.000 0.000 Eu
0.218 0.218 0.218 Tm
0.782 0.782 0.782 Tm
0.500 0.500 0.500 Ir
```

=====

3.
MnCuB2Pb | PBE-GGA | optimized geometry

## Properties
Space-group type: No. 123
M_tot: 0.765 μB/atom
Energy relative to the elements: 1.26 eV per atom

The structure in POSCAR format:
```
MnCuB2Pb
1.0
3.869 0.000 0.000
0.000 3.869 0.000
0.000 0.000 5.733
Mn Cu B Pb
1 1 2 1
Direct
0.000 0.000 0.000 Mn
0.500 0.500 0.500 Cu
0.000 0.500 0.500 B
0.500 0.000 0.500 B
0.500 0.500 0.000 Pb
```